{
  "formula": "LiNpSb2Rh4",
  "functional": "PBE",
  "state": "optimized geometry",
  "formation_energy_uncorrected_kj_per_mol_atoms": -41.83,
  "sg": "R-3m",
  "lattice_angstrom": [[2.309, 1.333, 7.549], [-2.309, 1.333, 7.549], [0.000, -2.667, 7.549]],
  "species": ["Li", "Np", "Sb", "Sb", "Rh", "Rh", "Rh", "Rh"],
  "fractional_positions": [[0.000, 0.000, 0.000], [0.500, 0.500, 0.500], [0.261, 0.261, 0.261], [0.739, 0.739, 0.739], [0.129, 0.129, 0.129], [0.386, 0.386, 0.386], [0.614, 0.614, 0.614], [0.871, 0.871, 0.871]]
}